1.
A plane-wave DFT calculation with PBE-GGA was carried out for crystalline Li4EuAu at its relaxed geometry.

Values from the calculation:
Symmetry = No. 216
ΔH_f (0 K) = -0.157 eV per atom
Electronic total energy = -3.6917 eV per atom

Unit cell a=5.4978 b=5.4978 c=5.4978 alpha=60.00 beta=60.00 gamma=60.00
With the nearest neighbours (Å) after each atom.
Sites, in units of the cell vectors:
Au 0.0000 0.0000 0.0000  12 Li 3.22, 4 Eu 3.37
Li 0.6279 0.1164 0.6279  6 Li 2.69-2.81
Li 0.1164 0.6279 0.6279  6 Li 2.69-2.81
Li 0.6279 0.6279 0.1164  6 Li 2.69-2.81
Li 0.6279 0.6279 0.6279  6 Li 2.69-2.81
Eu 0.2500 0.2500 0.2500  12 Li 3.23, 4 Au 3.37

***

2.
A plane-wave DFT calculation with PBE-GGA was carried out for crystalline Zr2CuW at its relaxed geometry.

Values from the calculation:
Symmetry = No. 10
ΔH_f (0 K) = 0.331 eV per atom
Electronic total energy = -8.2054 eV per atom

Unit cell a=3.1616 b=5.2624 c=5.8493 alpha=50.06 beta=90.00 gamma=90.00
With the nearest neighbours (Å) after each atom.
Sites, in units of the cell vectors:
Cu 0.5000 0.5000 0.5000  6 Zr 2.85-2.92, 4 W 3.07, 2 Cu 3.16
Zr 0.5000 0.5000 0.0000  4 W 2.85, 2 Cu 2.92, 6 Zr 3.07-3.16
Zr 0.0000 0.0000 0.0000  4 Cu 2.85, 2 W 2.92, 6 Zr 3.07-3.16
W 0.0000 0.0000 0.5000  6 Zr 2.85-2.92, 4 Cu 3.07, 2 W 3.16

***

3.
A plane-wave DFT calculation with PBE-GGA was carried out for crystalline NiSCl2 at its relaxed geometry.

Values from the calculation:
Symmetry = No. 166
Uncorrected formation energy = 0.159 eV/atom
Electronic total energy = -3.2415 eV per atom

Unit cell a=7.5492 b=7.5492 c=7.5492 alpha=27.22 beta=27.22 gamma=27.22
With the nearest neighbours (Å) after each atom.
Sites, in units of the cell vectors:
Ni 0.5000 0.5000 0.5000  6 Cl 2.43
Cl 0.1070 0.1070 0.1070  1 S 2.33, 3 Ni 2.43
Cl 0.8930 0.8930 0.8930  1 S 2.33, 3 Ni 2.43
S 0.0000 0.0000 0.0000  2 Cl 2.33

***

Q: The lowest electronic total energy belongs to which entry?
A: Zr2CuW

***

Q: What is the electronic total energy in the third record?
A: -3.2415 eV per atom

***

Q: Which value of electronic total energy does entry 2 give?
A: -8.2054 eV per atom

***

Please write out number 1 again, unchanged.
A plane-wave DFT calculation with PBE-GGA was carried out for crystalline Li4EuAu at its relaxed geometry.

Values from the calculation:
Symmetry = No. 216
ΔH_f (0 K) = -0.157 eV per atom
Electronic total energy = -3.6917 eV per atom

Unit cell a=5.4978 b=5.4978 c=5.4978 alpha=60.00 beta=60.00 gamma=60.00
With the nearest neighbours (Å) after each atom.
Sites, in units of the cell vectors:
Au 0.0000 0.0000 0.0000  12 Li 3.22, 4 Eu 3.37
Li 0.6279 0.1164 0.6279  6 Li 2.69-2.81
Li 0.1164 0.6279 0.6279  6 Li 2.69-2.81
Li 0.6279 0.6279 0.1164  6 Li 2.69-2.81
Li 0.6279 0.6279 0.6279  6 Li 2.69-2.81
Eu 0.2500 0.2500 0.2500  12 Li 3.23, 4 Au 3.37